No. 1
# CoBiP2S

A crystal of CoBiP2S relaxed with PBEsol (meta-GGA SCAN, the Alexandria database).

Values from the calculation:
V: 135.1 Å³/f.u.
Total moment: 4.41 μB per cell
E_tot: -0.869 hartree per atom
Formation energy (no corrections): 8.1 eV/f.u.

abc: 5.1214 5.1368 5.1368
angles: 90.00 90.00 90.00
Last column: magnetic moment on the atom in μB.
Sites, in units of the cell vectors:
P 0.0000 0.0000 0.5000  0.41
P 0.0000 0.5000 0.0000  0.41
S 0.5000 0.0000 0.0000  0.23
Co 0.5000 0.5000 0.5000  2.23
Bi 0.0000 0.0000 0.0000  0.00


No. 2
# KLi5

A crystal of KLi5 relaxed with PBEsol (meta-GGA SCAN, the Alexandria database).

Values from the calculation:
Formation energy from the elements: 0.11 eV per atom
V: 163.6 Å³/f.u.
E above lowest polymorph: 0.14 eV/f.u.
Total moment: 0.17 μB per cell
E_tot: -0.120 hartree per atom

abc: 5.0265 5.1606 6.8126
angles: 67.74 90.00 90.00
Sites, in units of the cell vectors:
K 0.0000 0.5000 0.0000
Li 0.5000 0.3044 0.3912
Li 0.0000 0.1816 0.6367
Li 0.5000 0.0000 0.0000
Li 0.0000 0.8184 0.3633
Li 0.5000 0.6956 0.6088


No. 3
# CuGeB3

A crystal of CuGeB3 relaxed with PBEsol (meta-GGA SCAN, the Alexandria database).

Values from the calculation:
Formation energy from the elements: 1.66 eV per atom
V: 59.1 Å³/f.u.
Total moment: 0.00 μB per cell
E_tot: -0.355 hartree per atom

abc: 3.8942 3.8942 3.8942
angles: 90.00 90.00 90.00
Sites, in units of the cell vectors:
Ge 0.5000 0.5000 0.5000
B 0.0000 0.5000 0.0000
B 0.0000 0.0000 0.5000
B 0.5000 0.0000 0.0000
Cu 0.0000 0.0000 0.0000